Computed, not measured: a relaxed structure of HoPaGaPd at the PBE level of DFT.

abc: 5.0152 5.0152 5.0152
angles: 60.00 60.00 60.00
Last column: nearest neighbours and their distance in Å.
Positions (direct):
Pd1 0.7500 0.7500 0.7500  4 Ho 3.07, 4 Pa 3.07
Pa1 0.0000 0.0000 0.0000  4 Ga 3.07, 4 Pd 3.07
Ga1 0.2500 0.2500 0.2500  4 Ho 3.07, 4 Pa 3.07
Ho1 0.5000 0.5000 0.5000  4 Pd 3.07, 4 Ga 3.07

Values from the calculation:
Theoretical density ... 10.65 Mg/m³
Formation energy from the elements ... -0.367 eV per atom
Spin magnetization ... 0.252 μB/atom
DFT total energy ... -23.8 eV/cell